No. 1
## Pr3AlZn (GGA-PBE)

Data for crystalline Pr3AlZn at its relaxed geometry.

Results
For the energy above the most stable polymorph in this dataset, the calculation gives 62 meV/atom. Its density of states at the Fermi level is 0.9454 states/eV/atom. As for the energy of formation from the pure elements: -0.176 eV/atom. The magnetic moment comes out at 0.00 μB per formula unit.

Cell lengths 6.3730, 11.4849, 8.6459 Å; angles 115.68, 90.00, 90.00 degrees
Element x y z (fractional)
Pr 0.0031 0.4670 0.6752
Pr 0.4969 0.9670 0.1752
Pr 0.3932 0.3114 0.3506
Pr 0.8932 0.1886 0.1494
Pr 0.6068 0.6886 0.6494
Pr 0.9969 0.5330 0.3248
Pr 0.7153 0.1753 0.5800
Pr 0.2847 0.8247 0.4200
Pr 0.5031 0.0330 0.8248
Pr 0.1068 0.8114 0.8506
Pr 0.7847 0.6753 0.0800
Pr 0.2153 0.3247 0.9200
Al 0.4887 0.5347 0.2353
Al 0.5113 0.4653 0.7647
Al 0.0113 0.0347 0.7353
Al 0.9887 0.9653 0.2647
Zn 0.7176 0.3709 0.9738
Zn 0.2176 0.1291 0.5262
Zn 0.2824 0.6291 0.0262
Zn 0.7824 0.8709 0.4738


No. 2
## PrAl4Zn (GGA-PBE)

Data for crystalline PrAl4Zn at its relaxed geometry.

Results
Its density of states at the Fermi level is 0.5207 states/eV/atom. As for the energy of formation from the pure elements: -0.117 eV/atom. The magnetic moment comes out at 0.00 μB per formula unit.

Cell lengths 5.5714, 5.5714, 5.5714 Å; angles 60.00, 60.00, 60.00 degrees
Element x y z (fractional)
Pr 0.0000 0.0000 0.0000
Zn 0.2500 0.2500 0.2500
Al 0.6253 0.6253 0.1240
Al 0.6253 0.1240 0.6253
Al 0.6253 0.6253 0.6253
Al 0.1240 0.6253 0.6253


No. 3
## Pr3AlZn2 (GGA-PBE)

Data for crystalline Pr3AlZn2 at its relaxed geometry.

Results
For the energy above the most stable polymorph in this dataset, the calculation gives 2 meV/atom. Its density of states at the Fermi level is 1.2382 states/eV/atom. As for the energy of formation from the pure elements: -0.307 eV/atom. The magnetic moment comes out at 0.00 μB per formula unit.

Cell lengths 3.6984, 3.6984, 11.3801 Å; angles 90.00, 90.00, 90.00 degrees
Element x y z (fractional)
Pr 0.0000 0.0000 0.0000
Pr 0.0000 0.0000 0.6696
Pr 0.0000 0.0000 0.3304
Al 0.5000 0.5000 0.5000
Zn 0.5000 0.5000 0.8375
Zn 0.5000 0.5000 0.1625


Question: Look up the magnetic moment of the third one.
Answer: 0.00 μB per formula unit


Question: magnetic moment of number 3 (Pr3AlZn2)?
Answer: 0.00 μB per formula unit